First-principles (GGA-PBE) data for a relaxed structure of In3Sb5O12, as listed in Alexandria.

Output
E above lowest polymorph = 0.000 eV/atom
E = -0.21413 Ha/atom

Lattice parameters (Å, degrees): 9.2858 9.2858 9.2858 109.47 109.47 109.47
With the nearest neighbours (Å) after each atom.
Fractional positions:
O1 0.7980 0.5239 0.0000  2 Sb 2.03-2.16
O2 0.4947 0.4947 0.7926  1 Sb 2.02, 2 In 2.19
O3 0.7926 0.4947 0.4947  1 Sb 2.02, 2 In 2.19
O4 0.4761 0.4761 0.2741  2 Sb 2.03-2.16
O5 0.2979 0.0000 0.5053  1 Sb 2.02, 2 In 2.19
O6 0.4761 0.2741 0.4761  2 Sb 2.03-2.16
O7 0.2020 0.7259 0.2020  2 Sb 2.03-2.16
O8 0.7021 0.2074 0.7021  1 Sb 2.02, 2 In 2.19
O9 0.0000 0.2979 0.5053  1 Sb 2.02, 2 In 2.19
O10 0.2979 0.5053 0.0000  1 Sb 2.02, 2 In 2.19
O11 0.7259 0.2020 0.2020  2 Sb 2.03-2.16
O12 0.2020 0.2020 0.7259  2 Sb 2.03-2.16
O13 0.5239 0.7980 0.0000  2 Sb 2.03-2.16
O14 0.5053 0.2979 0.0000  1 Sb 2.02, 2 In 2.19
O15 0.0000 0.7980 0.5239  2 Sb 2.03-2.16
O16 0.2741 0.4761 0.4761  2 Sb 2.03-2.16
O17 0.7021 0.7021 0.2074  1 Sb 2.02, 2 In 2.19
O18 0.5239 0.0000 0.7980  2 Sb 2.03-2.16
O19 0.0000 0.5239 0.7980  2 Sb 2.03-2.16
O20 0.2074 0.7021 0.7021  1 Sb 2.02, 2 In 2.19
O21 0.0000 0.5053 0.2979  1 Sb 2.02, 2 In 2.19
O22 0.7980 0.0000 0.5239  2 Sb 2.03-2.16
O23 0.4947 0.7926 0.4947  1 Sb 2.02, 2 In 2.19
O24 0.5053 0.0000 0.2979  1 Sb 2.02, 2 In 2.19
Sb1 0.0000 0.2838 0.2838  4 O 2.02-2.16
Sb2 0.0000 0.7162 0.7162  4 O 2.02-2.16
Sb3 0.0000 0.4841 0.0000  3 O 2.03
Sb4 0.0000 0.0000 0.4841  3 O 2.03
Sb5 0.5159 0.5159 0.5159  3 O 2.03
Sb6 0.2838 0.0000 0.2838  4 O 2.02-2.16
Sb7 0.2838 0.2838 0.0000  4 O 2.02-2.16
Sb8 0.7162 0.7162 0.0000  4 O 2.02-2.16
Sb9 0.7162 0.0000 0.7162  4 O 2.02-2.16
Sb10 0.4841 0.0000 0.0000  3 O 2.03
In1 0.2500 0.7500 0.5000  4 O 2.19
In2 0.5000 0.2500 0.7500  4 O 2.19
In3 0.7500 0.5000 0.2500  4 O 2.19
In4 0.2500 0.5000 0.7500  4 O 2.19
In5 0.5000 0.7500 0.2500  4 O 2.19
In6 0.7500 0.2500 0.5000  4 O 2.19



First-principles (GGA-PBE) data for a relaxed structure of InSbO4, as listed in Alexandria.

Output
E = -0.21876 Ha/atom

Lattice parameters (Å, degrees): 4.8665 5.7705 5.8408 111.45 90.00 90.00
With the nearest neighbours (Å) after each atom.
Fractional positions:
O1 0.6705 0.6326 0.3294  1 Sb 1.97, 2 In 2.15-2.17
O2 0.3295 0.3674 0.6706  1 Sb 1.97, 2 In 2.15-2.17
O3 0.7138 0.1732 0.8621  2 Sb 2.04, 1 In 2.24
O4 0.2138 0.3268 0.1379  2 Sb 2.04, 1 In 2.24
O5 0.1705 0.8674 0.6706  1 Sb 1.97, 2 In 2.15-2.17
O6 0.2862 0.8268 0.1379  2 Sb 2.04, 1 In 2.24
O7 0.8295 0.1326 0.3294  1 Sb 1.97, 2 In 2.15-2.17
O8 0.7862 0.6732 0.8621  2 Sb 2.04, 1 In 2.24
Sb1 0.5000 0.5000 0.0000  6 O 1.97-2.04
Sb2 0.0000 0.0000 0.0000  6 O 1.97-2.04
In1 0.5000 0.0000 0.5000  6 O 2.15-2.24
In2 0.0000 0.5000 0.5000  6 O 2.15-2.24



First-principles (GGA-PBE) data for a relaxed structure of InSb2O6, as listed in Alexandria.

Output
E = -0.21464 Ha/atom

Lattice parameters (Å, degrees): 4.7603 9.5446 9.5446 120.00 90.00 90.00
With the nearest neighbours (Å) after each atom.
Fractional positions:
O1 0.2097 0.2381 0.1191  2 Sb 2.07, 1 In 2.21
O2 0.7717 0.4337 0.2169  2 Sb 2.10, 1 In 2.29
O3 0.2097 0.8809 0.1191  2 Sb 2.07, 1 In 2.21
O4 0.7903 0.1191 0.2381  2 Sb 2.07, 1 In 2.21
O5 0.2283 0.2169 0.7831  2 Sb 2.10, 1 In 2.29
O6 0.7717 0.7831 0.2169  2 Sb 2.10, 1 In 2.29
O7 0.2283 0.2169 0.4337  2 Sb 2.10, 1 In 2.29
O8 0.2334 0.5492 0.4508  2 Sb 2.06
O9 0.2097 0.8809 0.7619  2 Sb 2.07, 1 In 2.21
O10 0.7717 0.7831 0.5663  2 Sb 2.10, 1 In 2.29
O11 0.7903 0.7619 0.8809  2 Sb 2.07, 1 In 2.21
O12 0.7903 0.1191 0.8809  2 Sb 2.07, 1 In 2.21
O13 0.2334 0.9017 0.4508  2 Sb 2.06
O14 0.7666 0.4508 0.5492  2 Sb 2.06
O15 0.2283 0.5663 0.7831  2 Sb 2.10, 1 In 2.29
O16 0.2334 0.5492 0.0983  2 Sb 2.06
O17 0.7666 0.0983 0.5492  2 Sb 2.06
O18 0.7666 0.4508 0.9017  2 Sb 2.06
Sb1 0.0000 0.3387 0.3387  6 O 2.06-2.10
Sb2 0.0000 0.6613 0.6613  6 O 2.06-2.10
Sb3 0.0000 0.3387 0.0000  6 O 2.06-2.10
Sb4 0.0000 0.0000 0.6613  6 O 2.06-2.10
Sb5 0.0000 0.6613 0.0000  6 O 2.06-2.10
Sb6 0.0000 0.0000 0.3387  6 O 2.06-2.10
In1 0.0000 0.0000 0.0000  6 O 2.21
In2 0.4878 0.3333 0.6667  6 O 2.29-2.35
In3 0.5122 0.6667 0.3333  6 O 2.29-2.35



First-principles (GGA-PBE) data for a relaxed structure of In3SbO, as listed in Alexandria.

Output
E above lowest polymorph = 1.013 eV/atom
E = -0.09877 Ha/atom

Lattice parameters (Å, degrees): 5.7560 5.7560 5.7560 90.00 90.00 90.00
With the nearest neighbours (Å) after each atom.
Fractional positions:
In1 0.5000 0.0000 0.0000  2 Sb 2.88
In2 0.0000 0.5000 0.0000  2 Sb 2.88
In3 0.0000 0.0000 0.5000  2 Sb 2.88
Sb1 0.0000 0.0000 0.0000  6 In 2.88
O1 0.5000 0.5000 0.5000  12 In 4.07



Q: What is the E in the fourth record?
A: -0.09877 Ha/atom